No. 1
Here is a geometry-optimized LiGe structure from Alexandria via LeMat-Bulk. Energies are from PBE.

Lattice parameters (Å, degrees): 10.728 10.728 3.867 90.00 90.00 90.00
Space group I4/m (No. 87)
Symmetry-distinct sites (fractional):
Li  0.055  0.676  0.000
Ge  0.186  0.277  0.000

Values from the calculation:
Energy of formation   -0.03 eV per formula unit
Total magnetic moment   0.00 μB/f.u.
Volume   445 Å³ per cell
N(E_F)   0.275 states/eV per atom

***

No. 2
Here is a geometry-optimized PuInNiRh structure from Alexandria via LeMat-Bulk. Energies are from PBE.

Lattice parameters (Å, degrees): 6.643 6.643 6.643 90.00 90.00 90.00
Space group F-43m (No. 216)
Symmetry-distinct sites (fractional):
Pu  0.000  0.000  0.000
In  0.000  0.000  0.500
Ni  0.250  0.250  0.250
Rh  0.250  0.250  0.750

Values from the calculation:
Energy of formation   -1.08 eV per formula unit
Total magnetic moment   4.78 μB/f.u.
Volume   293 Å³ per cell
N(E_F)   2.392 states/eV per atom

***

No. 3
Here is a geometry-optimized Zr2ZnIn structure from Alexandria via LeMat-Bulk. Energies are from PBE.

Lattice parameters (Å, degrees): 4.193 4.193 9.481 90.00 90.00 90.00
Space group I-4m2 (No. 119)
Symmetry-distinct sites (fractional):
Zr  0.000  0.000  0.000
Zr  0.000  0.500  0.250
Zn  0.000  0.000  0.500
In  0.000  0.500  0.750

Values from the calculation:
Energy of formation   -0.77 eV per formula unit
Total magnetic moment   0.00 μB/f.u.
Volume   167 Å³ per cell
N(E_F)   0.743 states/eV per atom

***

No. 4
Here is a geometry-optimized Na6Tl12Au structure from Alexandria via LeMat-Bulk. Energies are from PBE.

Lattice parameters (Å, degrees): 11.6789 11.6789 13.7484 90.00 90.00 120.00
Space group R-3 (No. 148, hexagonal axes)
Symmetry-distinct sites (fractional):
Na  0.0328  0.5961  0.2097
Tl  0.0393  0.8573  0.3159
Tl  0.0608  0.2039  0.9080
Au  0.0000  0.0000  0.5000

Values from the calculation:
Energy of formation   -1.59 eV per formula unit
Total magnetic moment   0.00 μB/f.u.
Volume   1624 Å³ per cell
N(E_F)   0.393 states/eV per atom

***

No. 5
Here is a geometry-optimized LaGdSn structure from Alexandria via LeMat-Bulk. Energies are from PBE.

Lattice parameters (Å, degrees): 7.513 7.513 7.513 90.00 90.00 90.00
Space group F-43m (No. 216)
Symmetry-distinct sites (fractional):
La  0.000  0.000  0.000
Gd  0.000  0.000  0.500
Sn  0.250  0.250  0.750

Values from the calculation:
Energy of formation   -1.36 eV per formula unit
Total magnetic moment   8.05 μB/f.u.
Volume   424 Å³ per cell
N(E_F)   1.893 states/eV per atom

***

No. 6
Here is a geometry-optimized YSnHg2 structure from Alexandria via LeMat-Bulk. Energies are from PBE.

Lattice parameters (Å, degrees): 4.6655 4.6655 17.8973 90.00 90.00 120.00
Space group R3m (No. 160, hexagonal axes)
Symmetry-distinct sites (fractional):
Y  0.0000  0.0000  0.0000
Sn  0.0000  0.0000  0.8117
Hg  0.0000  0.0000  0.4077
Hg  0.0000  0.0000  0.5781

Values from the calculation:
Energy of formation   -1.01 eV per formula unit
Total magnetic moment   0.00 μB/f.u.
Volume   337 Å³ per cell
N(E_F)   0.583 states/eV per atom

***

No. 7
Here is a geometry-optimized FeHgPd structure from Alexandria via LeMat-Bulk. Energies are from PBE.

Lattice parameters (Å, degrees): 2.907 2.907 11.545 90.00 90.00 90.00
Space group I4mm (No. 107)
Symmetry-distinct sites (fractional):
Fe  0.000  0.000  0.000
Hg  0.000  0.000  0.672
Pd  0.000  0.000  0.356

Values from the calculation:
Energy of formation   0.37 eV per formula unit
Total magnetic moment   2.99 μB/f.u.
Volume   98 Å³ per cell
N(E_F)   0.864 states/eV per atom

***

No. 8
Here is a geometry-optimized SnPCl2O structure from Alexandria via LeMat-Bulk. Energies are from PBE.

Lattice parameters (Å, degrees): 5.229 5.229 5.425 90.00 90.00 90.00
Space group P4/mmm (No. 123)
Symmetry-distinct sites (fractional):
Sn  0.000  0.000  0.000
P  0.000  0.000  0.500
Cl  0.000  0.500  0.000
O  0.500  0.500  0.500

Values from the calculation:
Uncorrected formation energy   53.0 kJ per mole of atoms
Total magnetic moment   0.16 μB/f.u.
Volume   148 Å³ per cell
N(E_F)   0.369 states/eV per atom

***

Number 1 is which compound?
LiGe

***

What is the volume in the third record?
167 Å³ per cell